Compound: CrNi2PbI
Source: the Alexandria database
Functional: PBE
Structure: optimized geometry

The total energy is -20.247 eV for the cell shown. As for the uncorrected formation energy: 1.240 eV per atom. As for the space group: No. 123. The calculation puts the spin magnetization at 0.9922 μB/atom. For the density of states at the Fermi level, the calculation gives 3.68 states/eV/f.u.

abc: 4.8025 6.4567 4.8025
angles: 90.00 90.00 90.00
Each line ends with the local moment (μB).
Fractional coordinates of all 5 atoms:
Cr1 0.5000 0.5000 0.5000  4.27
Ni1 0.5000 0.0000 0.0000  0.05
Ni2 0.0000 0.0000 0.5000  0.03
Pb1 0.0000 0.0000 0.0000  -0.01
I1 0.0000 0.5000 0.0000  -0.03

=====

Compound: Rb2CrNiI6
Source: the Alexandria database
Functional: PBE
Structure: optimized geometry

The total energy is -33.004 eV for the cell shown. As for the uncorrected formation energy: -0.636 eV per atom. As for the space group: No. 139. The calculation puts the spin magnetization at 0.4740 μB/atom. For the density of states at the Fermi level, the calculation gives 6.33 states/eV/f.u.

abc: 7.9854 7.9854 7.9731
angles: 59.95 59.95 90.00
Each line ends with the local moment (μB).
Fractional coordinates of all 10 atoms:
I1 0.7512 0.7512 0.0000  0.00
I2 0.7512 0.2488 0.0000  0.00
Rb1 0.2500 0.7500 0.5000  0.00
Rb2 0.7500 0.2500 0.5000  0.00
Ni1 0.0000 0.0000 0.0000  0.84
I3 0.7530 0.7530 0.4940  0.00
I4 0.2488 0.7512 0.0000  0.00
I5 0.2488 0.2488 0.0000  0.00
I6 0.2470 0.2470 0.5060  0.00
Cr1 0.5000 0.5000 0.0000  3.51

=====

Compound: Cr2NiRuI
Source: the Alexandria database
Functional: PBE
Structure: optimized geometry

The total energy is -24.804 eV for the cell shown. As for the uncorrected formation energy: 2.210 eV per atom. As for the space group: No. 123. The calculation puts the spin magnetization at 0.1904 μB/atom. For the density of states at the Fermi level, the calculation gives 10.01 states/eV/f.u.

abc: 4.6119 4.7498 4.6119
angles: 90.00 90.00 90.00
Each line ends with the local moment (μB).
Fractional coordinates of all 5 atoms:
Cr1 0.0000 0.0000 0.5000  0.22
Cr2 0.5000 0.0000 0.0000  0.13
I1 0.0000 0.0000 0.0000  0.00
Ni1 0.5000 0.5000 0.5000  0.81
Ru1 0.0000 0.5000 0.0000  -0.14

=====

Compound: CrNiSb2I
Source: the Alexandria database
Functional: PBE
Structure: optimized geometry

The total energy is -20.699 eV for the cell shown. As for the uncorrected formation energy: 0.900 eV per atom. As for the space group: No. 123. The calculation puts the spin magnetization at 0.5685 μB/atom. For the density of states at the Fermi level, the calculation gives 7.23 states/eV/f.u.

abc: 5.0086 5.0086 5.5137
angles: 90.00 90.00 90.00
Each line ends with the local moment (μB).
Fractional coordinates of all 5 atoms:
Sb1 0.5000 0.0000 0.0000  -0.13
Cr1 0.0000 0.0000 0.0000  2.35
Sb2 0.0000 0.5000 0.0000  -0.13
Ni1 0.5000 0.5000 0.5000  0.71
I1 0.0000 0.0000 0.5000  0.02